1.
Here is a geometry-optimized AsOsSe2 structure from Alexandria via LeMat-Bulk. Energies are from PBE-GGA.

The space group is Cmm2 (No. 35) and the conventional cell measures 2.895, 5.069 and 10.712 Å, with angles of 90.00, 90.00 and 90.00 degrees. The asymmetric unit holds As at (0.000, 0.000, 0.000), Os at (0.000, 0.500, 0.199), Se at (0.000, 0.000, 0.393) and Se at (0.000, 0.500, 0.694).

Its formation energy without anion corrections is 0.498 eV/atom. Its total energy is -5.214 eV/atom. The polymorph energy (0 for the lowest one) comes out at 398.5 meV/atom. The calculation puts the calculated volume at 19.6 Å³/atom.

=====

2.
Here is a geometry-optimized AsOsSe structure from Alexandria via LeMat-Bulk. Energies are from PBE-GGA.

The space group is F-43m (No. 216) and the conventional cell measures 6.071, 6.071 and 6.071 Å, with angles of 90.00, 90.00 and 90.00 degrees. The asymmetric unit holds As at (0.000, 0.000, 0.000), Os at (0.250, 0.250, 0.250) and Se at (0.250, 0.250, 0.750).

Its formation energy without anion corrections is 0.993 eV/atom. Its total energy is -5.461 eV/atom. The calculation puts the calculated volume at 18.6 Å³/atom.

=====

3.
Here is a geometry-optimized AsOsSe structure from Alexandria via LeMat-Bulk. Energies are from PBE-GGA.

The space group is F-43m (No. 216) and the conventional cell measures 6.024, 6.024 and 6.024 Å, with angles of 90.00, 90.00 and 90.00 degrees. The asymmetric unit holds As at (0.000, 0.000, 0.000), Os at (0.250, 0.250, 0.750) and Se at (0.000, 0.000, 0.500).

Its formation energy without anion corrections is 0.108 eV/atom. Its total energy is -6.347 eV/atom. The calculation puts the calculated volume at 18.2 Å³/atom.

=====

4.
Here is a geometry-optimized AsOsSe2 structure from Alexandria via LeMat-Bulk. Energies are from PBE-GGA.

The space group is I4/mmm (No. 139) and the conventional cell measures 5.287, 5.287 and 5.213 Å, with angles of 90.00, 90.00 and 90.00 degrees. The asymmetric unit holds As at (0.000, 0.000, 0.000), Os at (0.000, 0.000, 0.500) and Se at (0.000, 0.500, 0.000).

Its formation energy without anion corrections is 0.497 eV/atom. Its total energy is -5.215 eV/atom. The polymorph energy (0 for the lowest one) comes out at 397.7 meV/atom. The calculation puts the calculated volume at 18.2 Å³/atom.

=====

5.
Here is a geometry-optimized AsOsSe2 structure from Alexandria via LeMat-Bulk. Energies are from PBE-GGA.

The space group is C2/m (No. 12) and the conventional cell measures 6.924, 3.085 and 8.632 Å, with angles of 90.00, 107.65 and 90.00 degrees. The asymmetric unit holds As at (0.000, 0.000, 0.000), Os at (0.000, 0.500, 0.500) and Se at (0.139, 0.000, 0.329).

Its formation energy without anion corrections is 0.271 eV/atom. Its total energy is -5.441 eV/atom. The polymorph energy (0 for the lowest one) comes out at 171.1 meV/atom. The calculation puts the calculated volume at 22.0 Å³/atom.

=====

6.
Here is a geometry-optimized AsOsSe structure from Alexandria via LeMat-Bulk. Energies are from PBE-GGA.

The space group is P3m1 (No. 156) and the conventional cell measures 4.2800, 4.2800 and 3.4062 Å, with angles of 90.00, 90.00 and 120.00 degrees. The asymmetric unit holds As at (0.0000, 0.0000, 0.0000), Os at (0.6667, 0.3333, 0.1537) and Se at (0.3333, 0.6667, 0.4148).

Its formation energy without anion corrections is 0.532 eV/atom. Its total energy is -5.923 eV/atom. The calculation puts the calculated volume at 18.0 Å³/atom.

=====

7.
Here is a geometry-optimized AsOsSe structure from Alexandria via LeMat-Bulk. Energies are from PBE-GGA.

The space group is I4mm (No. 107) and the conventional cell measures 2.978, 2.978 and 12.984 Å, with angles of 90.00, 90.00 and 90.00 degrees. The asymmetric unit holds As at (0.000, 0.000, 0.000), Os at (0.000, 0.000, 0.623) and Se at (0.000, 0.000, 0.251).

Its formation energy without anion corrections is 0.261 eV/atom. Its total energy is -6.193 eV/atom. The calculation puts the calculated volume at 19.2 Å³/atom.

=====

8.
Here is a geometry-optimized AsOsSe2 structure from Alexandria via LeMat-Bulk. Energies are from PBE-GGA.

The space group is R-3m (No. 166, hexagonal axes) and the conventional cell measures 3.2029, 3.2029 and 25.8296 Å, with angles of 90.00, 90.00 and 120.00 degrees. The asymmetric unit holds As at (0.0000, 0.0000, 0.0000), Os at (0.0000, 0.0000, 0.5000) and Se at (0.0000, 0.0000, 0.2348).

Its formation energy without anion corrections is 0.399 eV/atom. Its total energy is -5.313 eV/atom. The polymorph energy (0 for the lowest one) comes out at 299.7 meV/atom. The calculation puts the calculated volume at 19.1 Å³/atom.